DFT (GGA+U) results for crystalline CoPPdO2 at its relaxed geometry.

Cell lengths 3.5062, 3.5062, 5.4502 Å; angles 90.00, 90.00, 90.00 degrees
With the nearest neighbours (Å) after each atom.
Element x y z (fractional)
Pd 0.5000 0.5000 0.5000  4 P 2.48
P 0.0000 0.0000 0.5000  4 Pd 2.48, 2 Co 2.73
Co 0.0000 0.0000 0.0000  4 O 1.75
O 0.5000 0.0000 0.0000  2 Co 1.75
O 0.0000 0.5000 0.0000  2 Co 1.75

Calculated values
Density   5.659 g/cm³
Spin magnetization   2.6 μB/cell
DOS(E_F)   0.5985 states/eV/atom
Energy relative to the lowest polymorph listed for this composition   0 meV per atom